1.
VASP calculation (PBE) on crystalline La2ReBr at its relaxed geometry.

## Properties
N(E_F) (states/eV/f.u.): 1.9
Calculated density (kg/m3): 9318
SG: F-43m (216)
Uncorrected formation energy (eV/atom): 0.426
DFT total energy (eV per atom): -5.5675
Relative energy among the computed polymorphs (meV per atom): 945
Total magnetization (μB per formula unit): 0.00

a b c (Å): 5.156 5.156 5.156
angles (deg): 60.00 60.00 60.00
Sites, in units of the cell vectors:
Re1 0.750 0.750 0.750
Br1 0.500 0.500 0.500
La1 0.000 0.000 0.000
La2 0.250 0.250 0.250

***

2.
VASP calculation (PBE) on crystalline DyZr2Cd at its relaxed geometry.

## Properties
Energy relative to the elements (eV/atom): 0.308
N(E_F) (states/eV/f.u.): 4.1
Calculated density (kg/m3): 7328
SG: R-3m (166)
DFT total energy (eV per atom): -5.3459
Relative energy among the computed polymorphs (meV per atom): 316
Total magnetization (μB per formula unit): 0.00

a b c (Å): 3.215 3.215 11.728
angles (deg): 82.12 82.12 60.00
Sites, in units of the cell vectors:
Cd1 0.000 0.000 0.000
Zr1 0.088 0.088 0.737
Zr2 0.912 0.912 0.263
Dy1 0.500 0.500 0.500

***

3.
VASP calculation (PBE) on crystalline ScAg2Rh at its relaxed geometry.

## Properties
Energy relative to the elements (eV/atom): -0.387
N(E_F) (states/eV/f.u.): 1.6
Calculated density (kg/m3): 8818
SG: I4/mmm (139)
DFT total energy (eV per atom): -5.2330
Total magnetization (μB per formula unit): 0.00

a b c (Å): 5.304 5.304 5.304
angles (deg): 137.05 137.04 62.37
Sites, in units of the cell vectors:
Ag1 0.000 0.000 0.000
Ag2 0.500 0.500 0.000
Rh1 0.750 0.250 0.500
Sc1 0.250 0.750 0.500

***

4.
VASP calculation (PBE) on crystalline InTcO2 at its relaxed geometry.

## Properties
N(E_F) (states/eV/f.u.): 2.0
Calculated density (kg/m3): 7876
SG: R-3m (166)
Uncorrected formation energy (eV/atom): -0.904
DFT total energy (eV per atom): -6.6588
Total magnetization (μB per formula unit): 0.00

a b c (Å): 7.422 7.422 7.422
angles (deg): 22.30 22.30 22.30
Sites, in units of the cell vectors:
Tc1 0.500 0.500 0.500
O1 0.893 0.893 0.893
O2 0.107 0.107 0.107
In1 0.000 0.000 0.000